Entry 1:
# BeHg2Ir

A relaxed structure of BeHg2Ir (PBE-GGA, the Alexandria database).

**Crystal system**: tetragonal
**Formation enthalpy at 0 K**: 472 meV/atom
**Space-group type**: I-4m2
**Total magnetization**: 0.0 μB/f.u.
**V**: 67 Å³/cell
**Calculated density**: 14.975 g/cm3
**DOS(E_F)**: 0.34 states/eV per atom

abc: 5.0989 5.0989 5.0989
angles: 134.31 134.31 66.60
Element x y z (fractional)
1 Hg 0.2500 0.7500 0.5000
2 Hg 0.0000 0.0000 0.0000
3 Ir 0.5000 0.5000 0.0000
4 Be 0.7500 0.2500 0.5000

---

Entry 2:
# PrNd2DyTh

A relaxed structure of PrNd2DyTh (PBE-GGA, the Alexandria database).

**Crystal system**: monoclinic
**Formation enthalpy at 0 K**: 308 meV/atom
**Space-group type**: P2/c
**Total magnetization**: 0.0 μB/f.u.
**V**: 360 Å³/cell
**Calculated density**: 7.604 g/cm3
**DOS(E_F)**: 1.35 states/eV per atom

abc: 6.5045 8.6731 6.4435
angles: 98.11 90.00 90.00
Element x y z (fractional)
1 Dy 0.8291 0.5000 0.2500
2 Dy 0.1709 0.5000 0.7500
3 Nd 0.3109 0.6854 0.2971
4 Nd 0.6891 0.6854 0.7971
5 Nd 0.6891 0.3146 0.7029
6 Nd 0.3109 0.3146 0.2029
7 Th 0.4518 0.0000 0.7500
8 Th 0.5482 0.0000 0.2500
9 Pr 0.0000 0.0000 0.5000
10 Pr 0.0000 0.0000 0.0000

---

Entry 3:
# Rb5IF6

A relaxed structure of Rb5IF6 (PBE-GGA, the Alexandria database).

**Formation energy from raw total energies**: -2326.8 meV per atom
**Crystal system**: monoclinic
**Space-group type**: C2/m
**Total magnetization**: 0.0 μB/f.u.
**V**: 304 Å³/cell
**Calculated density**: 3.653 g/cm3
**DOS(E_F)**: 0.00 states/eV per atom

abc: 6.9695 7.0846 7.1851
angles: 60.46 84.96 79.74
Element x y z (fractional)
1 Rb 0.5000 0.8362 0.3276
2 Rb 0.5000 0.5000 0.0000
3 Rb 0.0000 0.3104 0.3792
4 Rb 0.5000 0.1638 0.6724
5 Rb 0.0000 0.6896 0.6208
6 F 0.7068 0.1207 0.3604
7 F 0.2932 0.5189 0.3604
8 F 0.1742 0.2233 0.0000
9 F 0.7068 0.4811 0.6396
10 F 0.8258 0.7767 0.0000
11 F 0.2932 0.8793 0.6396
12 I 0.0000 0.0000 0.0000

---

Entry 4:
# PmHg3Au

A relaxed structure of PmHg3Au (PBE-GGA, the Alexandria database).

**Crystal system**: orthorhombic
**Formation enthalpy at 0 K**: -336 meV/atom
**Space-group type**: Pnma
**Total magnetization**: 0.0 μB/f.u.
**V**: 493 Å³/cell
**Calculated density**: 12.713 g/cm3
**DOS(E_F)**: 0.44 states/eV per atom

abc: 5.1058 10.1843 9.4828
angles: 90.01 90.00 90.00
Element x y z (fractional)
1 Au 0.7500 0.8247 0.3106
2 Au 0.2500 0.1753 0.6894
3 Au 0.7500 0.3244 0.1892
4 Au 0.2500 0.6756 0.8108
5 Pm 0.7500 0.7544 0.9869
6 Pm 0.2500 0.2456 0.0131
7 Pm 0.7500 0.2543 0.5133
8 Pm 0.2500 0.7457 0.4867
9 Hg 0.7500 0.5533 0.3617
10 Hg 0.7500 0.9341 0.5980
11 Hg 0.2500 0.0659 0.4020
12 Hg 0.2500 0.3682 0.3340
13 Hg 0.7500 0.0531 0.1383
14 Hg 0.2500 0.4467 0.6383
15 Hg 0.2500 0.5664 0.0981
16 Hg 0.2500 0.9469 0.8617
17 Hg 0.7500 0.1316 0.8338
18 Hg 0.2500 0.8684 0.1662
19 Hg 0.7500 0.4336 0.9019
20 Hg 0.7500 0.6318 0.6660

---

Entry 5:
# RbZn2Pd

A relaxed structure of RbZn2Pd (PBE-GGA, the Alexandria database).

**Crystal system**: tetragonal
**Formation enthalpy at 0 K**: -37 meV/atom
**Energy relative to the lowest polymorph listed for this composition**: 0.0 meV per atom
**Space-group type**: I4_1/amd
**Total magnetization**: 0.0 μB/f.u.
**V**: 239 Å³/cell
**Calculated density**: 4.488 g/cm3
**DOS(E_F)**: 0.43 states/eV per atom

abc: 5.3063 5.3063 9.2745
angles: 73.38 73.38 90.00
Element x y z (fractional)
1 Rb 0.2500 0.7500 0.5000
2 Rb 0.5000 0.5000 0.0000
3 Zn 0.3750 0.1250 0.7500
4 Zn 0.8750 0.1250 0.2500
5 Zn 0.8750 0.6250 0.2500
6 Zn 0.8750 0.1250 0.7500
7 Pd 0.0000 0.0000 0.0000
8 Pd 0.7500 0.2500 0.5000

---

Entry 6:
# ScNbTcI2

A relaxed structure of ScNbTcI2 (PBE-GGA, the Alexandria database).

**Formation energy from raw total energies**: 985.5 meV per atom
**Crystal system**: tetragonal
**Space-group type**: P4/mmm
**Total magnetization**: 1.2 μB/f.u.
**V**: 142 Å³/cell
**Calculated density**: 5.711 g/cm3
**DOS(E_F)**: 1.27 states/eV per atom

abc: 5.4512 4.7914 5.4512
angles: 90.00 90.00 90.00
Site moments in Bohr magnetons follow the coordinates.
Element x y z (fractional)
1 I 0.0000 0.0000 0.5000  0.00
2 I 0.5000 0.0000 0.0000  0.01
3 Sc 0.5000 0.5000 0.5000  0.50
4 Nb 0.0000 0.0000 0.0000  0.33
5 Tc 0.0000 0.5000 0.0000  0.03

---

Entry 7:
# NaBPb

A relaxed structure of NaBPb (PBE-GGA, the Alexandria database).

**Crystal system**: monoclinic
**Formation enthalpy at 0 K**: 199 meV/atom
**Space-group type**: C2/m
**Total magnetization**: 0.0 μB/f.u.
**V**: 140 Å³/cell
**Calculated density**: 5.702 g/cm3
**DOS(E_F)**: 0.34 states/eV per atom

abc: 13.5008 6.8366 6.8366
angles: 152.80 148.12 31.88
Element x y z (fractional)
1 B 0.9949 0.2617 0.7383
2 B 0.0051 0.7383 0.2617
3 Pb 0.6792 0.6598 0.3402
4 Pb 0.3208 0.3402 0.6598
5 Na 0.2462 0.6781 0.3219
6 Na 0.7538 0.3219 0.6781

---

Entry 8:
# Mg2TcO4

A relaxed structure of Mg2TcO4 (PBE-GGA, the Alexandria database).

**Formation energy from raw total energies**: -2112.1 meV per atom
**Crystal system**: tetragonal
**Energy relative to the lowest polymorph listed for this composition**: 0.0 meV per atom
**Space-group type**: P4_122
**Total magnetization**: 3.0 μB/f.u.
**V**: 322 Å³/cell
**Calculated density**: 4.344 g/cm3

abc: 6.1084 6.1084 8.6313
angles: 90.00 90.00 90.00
Site moments in Bohr magnetons follow the coordinates.
Element x y z (fractional)
1 Tc 0.7401 0.0000 0.2500  2.37
2 Tc 0.0000 0.7401 0.5000  2.37
3 Tc 0.2599 0.0000 0.7500  2.37
4 Tc 0.0000 0.2599 0.0000  2.37
5 O 0.0193 0.7550 0.7376  0.08
6 O 0.4812 0.2423 0.7556  0.09
7 O 0.7550 0.9807 0.4876  0.08
8 O 0.9807 0.2450 0.2376  0.08
9 O 0.7577 0.5188 0.4944  0.09
10 O 0.2450 0.9807 0.5124  0.08
11 O 0.2423 0.5188 0.5056  0.09
12 O 0.2423 0.4812 0.9944  0.09
13 O 0.0193 0.2450 0.7624  0.08
14 O 0.9807 0.7550 0.2624  0.08
15 O 0.5188 0.7577 0.2556  0.09
16 O 0.7577 0.4812 0.0056  0.09
17 O 0.4812 0.7577 0.7444  0.09
18 O 0.2450 0.0193 0.9876  0.08
19 O 0.7550 0.0193 0.0124  0.08
20 O 0.5188 0.2423 0.2444  0.09
21 Mg 0.7422 0.5000 0.2500  0.01
22 Mg 0.5000 0.7422 0.5000  0.01
23 Mg 0.2490 0.7510 0.1250  0.01
24 Mg 0.7510 0.7510 0.8750  0.01
25 Mg 0.2490 0.2490 0.3750  0.01
26 Mg 0.5000 0.2578 0.0000  0.01
27 Mg 0.2578 0.5000 0.7500  0.01
28 Mg 0.7510 0.2490 0.6250  0.01

---

Entry 9:
# Sc4C3

A relaxed structure of Sc4C3 (PBE-GGA, the Alexandria database).

**Crystal system**: tetragonal
**Formation enthalpy at 0 K**: -255 meV/atom
**Energy relative to the lowest polymorph listed for this composition**: 231.8 meV per atom
**Space-group type**: I4/mmm
**Total magnetization**: 0.0 μB/f.u.
**V**: 97 Å³/cell
**Calculated density**: 3.678 g/cm3
**DOS(E_F)**: 0.19 states/eV per atom

abc: 9.5928 9.5928 9.5928
angles: 160.59 160.59 27.59
Element x y z (fractional)
1 Sc 0.1910 0.1910 0.0000
2 Sc 0.5650 0.5650 0.0000
3 Sc 0.8090 0.8090 0.0000
4 Sc 0.4350 0.4350 0.0000
5 C 0.3207 0.3207 0.0000
6 C 0.6793 0.6793 0.0000
7 C 0.0000 0.0000 0.0000

---

Entry 10:
# SrP2WCl

A relaxed structure of SrP2WCl (PBE-GGA, the Alexandria database).

**Formation energy from raw total energies**: -469.5 meV per atom
**Crystal system**: tetragonal
**Energy relative to the lowest polymorph listed for this composition**: 0.0 meV per atom
**Space-group type**: P4/mmm
**Total magnetization**: 0.5 μB/f.u.
**V**: 115 Å³/cell
**Calculated density**: 5.319 g/cm3
**DOS(E_F)**: 0.69 states/eV per atom

abc: 4.7014 4.7014 5.2099
angles: 90.00 90.00 90.00
Site moments in Bohr magnetons follow the coordinates.
Element x y z (fractional)
1 Sr 0.5000 0.5000 0.5000  0.00
2 W 0.0000 0.0000 0.0000  0.36
3 P 0.5000 0.0000 0.0000  -0.01
4 P 0.0000 0.5000 0.0000  -0.01
5 Cl 0.0000 0.0000 0.5000  0.01

---

Entry 11:
# MnCrTeI2

A relaxed structure of MnCrTeI2 (PBE-GGA, the Alexandria database).

**Formation energy from raw total energies**: 432.7 meV per atom
**Crystal system**: tetragonal
**Energy relative to the lowest polymorph listed for this composition**: 0.0 meV per atom
**Space-group type**: P4/mmm
**Total magnetization**: 9.1 μB/f.u.
**V**: 163 Å³/cell
**Calculated density**: 4.976 g/cm3
**DOS(E_F)**: 0.56 states/eV per atom

abc: 5.4304 5.4304 5.5264
angles: 90.00 90.00 90.00
Site moments in Bohr magnetons follow the coordinates.
Element x y z (fractional)
1 I 0.5000 0.0000 0.0000  0.02
2 I 0.0000 0.5000 0.0000  0.02
3 Te 0.0000 0.0000 0.5000  -0.09
4 Cr 0.0000 0.0000 0.0000  3.43
5 Mn 0.5000 0.5000 0.5000  4.67

---

Entry 12:
# Ba3YRh

A relaxed structure of Ba3YRh (PBE-GGA, the Alexandria database).

**Crystal system**: cubic
**Formation enthalpy at 0 K**: 1215 meV/atom
**Energy relative to the lowest polymorph listed for this composition**: 1078.5 meV per atom
**Space-group type**: Pm-3m
**Total magnetization**: 3.7 μB/f.u.
**V**: 256 Å³/cell
**Calculated density**: 3.914 g/cm3
**DOS(E_F)**: 1.38 states/eV per atom

abc: 6.3507 6.3507 6.3507
angles: 90.00 90.00 90.00
Site moments in Bohr magnetons follow the coordinates.
Element x y z (fractional)
1 Ba 0.5000 0.0000 0.0000  0.10
2 Ba 0.0000 0.0000 0.5000  0.24
3 Ba 0.0000 0.5000 0.0000  0.18
4 Y 0.0000 0.0000 0.0000  0.80
5 Rh 0.5000 0.5000 0.5000  1.09

---

Entry 13:
# NaAc4Mg5

A relaxed structure of NaAc4Mg5 (PBE-GGA, the Alexandria database).

**Crystal system**: tetragonal
**Formation enthalpy at 0 K**: -29 meV/atom
**Space-group type**: P4/mmm
**Total magnetization**: 0.0 μB/f.u.
**V**: 340 Å³/cell
**Calculated density**: 5.147 g/cm3
**DOS(E_F)**: 0.84 states/eV per atom

abc: 4.0961 4.0961 20.2386
angles: 90.00 90.00 90.00
Element x y z (fractional)
1 Mg 0.5000 0.5000 0.0885
2 Mg 0.5000 0.5000 0.2965
3 Mg 0.5000 0.5000 0.9115
4 Mg 0.5000 0.5000 0.5000
5 Mg 0.5000 0.5000 0.7035
6 Ac 0.0000 0.0000 0.6023
7 Ac 0.0000 0.0000 0.1955
8 Ac 0.0000 0.0000 0.8045
9 Ac 0.0000 0.0000 0.3977
10 Na 0.0000 0.0000 0.0000

---

Entry 14:
# BaNi2Cl

A relaxed structure of BaNi2Cl (PBE-GGA, the Alexandria database).

**Formation energy from raw total energies**: -100.1 meV per atom
**Crystal system**: tetragonal
**Energy relative to the lowest polymorph listed for this composition**: 184.5 meV per atom
**Space-group type**: I4_1/amd
**Total magnetization**: 0.0 μB/f.u.
**V**: 183 Å³/cell
**Calculated density**: 5.255 g/cm3
**DOS(E_F)**: 0.77 states/eV per atom

abc: 4.7985 4.7985 8.6564
angles: 73.91 73.91 90.00
Element x y z (fractional)
1 Ni 0.3750 0.6250 0.2500
2 Ni 0.3750 0.6250 0.7500
3 Ni 0.8750 0.6250 0.7500
4 Ni 0.3750 0.1250 0.2500
5 Cl 0.2500 0.7500 0.5000
6 Cl 0.5000 0.5000 0.0000
7 Ba 0.7500 0.2500 0.5000
8 Ba 0.0000 0.0000 0.0000

---

Entry 15:
# Cr2WCl

A relaxed structure of Cr2WCl (PBE-GGA, the Alexandria database).

**Formation energy from raw total energies**: 316.9 meV per atom
**Crystal system**: orthorhombic
**Energy relative to the lowest polymorph listed for this composition**: 84.3 meV per atom
**Space-group type**: Pmm2
**Total magnetization**: 1.4 μB/f.u.
**V**: 62 Å³/cell
**Calculated density**: 8.658 g/cm3
**DOS(E_F)**: 0.75 states/eV per atom

abc: 2.9148 2.9514 7.2074
angles: 89.96 90.00 90.00
Site moments in Bohr magnetons follow the coordinates.
Element x y z (fractional)
1 W 0.0000 0.7499 0.4586  0.09
2 Cr 0.0000 0.7508 0.0529  2.27
3 Cr 0.5000 0.2503 0.2401  -1.05
4 Cl 0.5000 0.7489 0.7483  0.00

---

Entry 16:
# Ni4AgTe

A relaxed structure of Ni4AgTe (PBE-GGA, the Alexandria database).

**Formation energy from raw total energies**: 188.6 meV per atom
**Crystal system**: cubic
**Space-group type**: F-43m
**Total magnetization**: 0.0 μB/f.u.
**V**: 84 Å³/cell
**Calculated density**: 9.332 g/cm3
**DOS(E_F)**: 1.36 states/eV per atom

abc: 4.9095 4.9095 4.9095
angles: 60.00 60.00 60.00
Element x y z (fractional)
1 Ni 0.3747 0.3747 0.3747
2 Ni 0.3747 0.8758 0.3747
3 Ni 0.3747 0.3747 0.8758
4 Ni 0.8758 0.3747 0.3747
5 Ag 0.0000 0.0000 0.0000
6 Te 0.7500 0.7500 0.7500

---

Entry 17:
# PmFe12P6

A relaxed structure of PmFe12P6 (PBE-GGA, the Alexandria database).

**Crystal system**: trigonal
**Formation enthalpy at 0 K**: -501 meV/atom
**Space-group type**: R-3m
**Total magnetization**: 9.7 μB/f.u.
**V**: 235 Å³/cell
**Calculated density**: 7.086 g/cm3
**DOS(E_F)**: 0.93 states/eV per atom

abc: 6.4412 6.4412 6.4412
angles: 104.81 104.81 104.81
Site moments in Bohr magnetons follow the coordinates.
Element x y z (fractional)
1 P 0.7676 0.7676 0.3262  -0.03
2 P 0.3262 0.7676 0.7676  -0.03
3 P 0.2324 0.2324 0.6738  -0.03
4 P 0.6738 0.2324 0.2324  -0.03
5 P 0.7676 0.3262 0.7676  -0.03
6 P 0.2324 0.6738 0.2324  -0.03
7 Fe 0.5000 0.1356 0.8644  0.09
8 Fe 0.5000 0.8644 0.1356  0.09
9 Fe 0.1356 0.5000 0.8644  0.09
10 Fe 0.5503 0.8146 0.5503  1.64
11 Fe 0.1854 0.4497 0.4497  1.64
12 Fe 0.8644 0.5000 0.1356  0.09
13 Fe 0.4497 0.4497 0.1854  1.64
14 Fe 0.4497 0.1854 0.4497  1.64
15 Fe 0.8644 0.1356 0.5000  0.09
16 Fe 0.8146 0.5503 0.5503  1.64
17 Fe 0.1356 0.8644 0.5000  0.09
18 Fe 0.5503 0.5503 0.8146  1.64
19 Pm 0.0000 0.0000 0.0000  -0.12

---

Entry 18:
# Tb3Dy4Zr

A relaxed structure of Tb3Dy4Zr (PBE-GGA, the Alexandria database).

**Crystal system**: monoclinic
**Formation enthalpy at 0 K**: 204 meV/atom
**Space-group type**: C2/m
**Total magnetization**: 0.0 μB/f.u.
**V**: 247 Å³/cell
**Calculated density**: 8.203 g/cm3
**DOS(E_F)**: 1.61 states/eV per atom

abc: 3.3965 6.7311 11.4245
angles: 72.87 98.55 90.00
Element x y z (fractional)
1 Tb 0.8800 0.3537 0.7600
2 Tb 0.0000 0.5000 0.0000
3 Tb 0.1200 0.6463 0.2400
4 Dy 0.2582 0.2413 0.5164
5 Dy 0.7418 0.7587 0.4836
6 Dy 0.8800 0.8870 0.7600
7 Dy 0.1200 0.1130 0.2400
8 Zr 0.5000 0.0000 0.0000

---

Entry 19:
# Pm12Nd7Er

A relaxed structure of Pm12Nd7Er (PBE-GGA, the Alexandria database).

**Crystal system**: trigonal
**Formation enthalpy at 0 K**: 220 meV/atom
**Energy relative to the lowest polymorph listed for this composition**: 0.0 meV per atom
**Space-group type**: R-3
**Total magnetization**: 0.0 μB/f.u.
**V**: 705 Å³/cell
**Calculated density**: 6.875 g/cm3
**DOS(E_F)**: 1.99 states/eV per atom

abc: 8.9079 8.9079 8.9079
angles: 87.30 87.30 87.30
Element x y z (fractional)
1 Pm 0.6160 0.1359 0.4935
2 Pm 0.4935 0.6160 0.1359
3 Pm 0.8548 0.2537 0.7265
4 Pm 0.7463 0.2735 0.1452
5 Pm 0.3840 0.8641 0.5065
6 Pm 0.7265 0.8548 0.2537
7 Pm 0.2537 0.7265 0.8548
8 Pm 0.8641 0.5065 0.3840
9 Pm 0.5065 0.3840 0.8641
10 Pm 0.1452 0.7463 0.2735
11 Pm 0.1359 0.4935 0.6160
12 Pm 0.2735 0.1452 0.7463
13 Nd 0.6054 0.9241 0.8493
14 Nd 0.9241 0.8493 0.6054
15 Nd 0.8493 0.6054 0.9241
16 Nd 0.3946 0.0759 0.1507
17 Nd 0.5000 0.5000 0.5000
18 Nd 0.1507 0.3946 0.0759
19 Nd 0.0759 0.1507 0.3946
20 Er 0.0000 0.0000 0.0000

---

Entry 20:
# Nd2TlI

A relaxed structure of Nd2TlI (PBE-GGA, the Alexandria database).

**Formation energy from raw total energies**: -591.8 meV per atom
**Crystal system**: tetragonal
**Energy relative to the lowest polymorph listed for this composition**: 39.0 meV per atom
**Space-group type**: P4/mmm
**Total magnetization**: 0.0 μB/f.u.
**V**: 121 Å³/cell
**Calculated density**: 8.481 g/cm3
**DOS(E_F)**: 1.03 states/eV per atom

abc: 3.7640 3.7640 8.5651
angles: 90.00 90.00 90.00
Element x y z (fractional)
1 Nd 0.0000 0.0000 0.7619
2 Nd 0.0000 0.0000 0.2381
3 Tl 0.5000 0.5000 0.0000
4 I 0.5000 0.5000 0.5000